Computed, not measured: a geometry-optimized LiMn2TcO6 structure at the PBE with a Hubbard U level of DFT.

a b c (Å): 5.0782 5.2574 5.5410
angles (deg): 63.23 89.04 61.86
With the nearest neighbours (Å) after each atom.
Atoms (fractional coordinates):
Li 0.0000 0.0000 0.0000  3 O 2.01-2.06
Mn 0.2782 0.4796 0.8161  6 O 2.10-2.27
Mn 0.7829 0.4620 0.3402  5 O 1.94-2.14
Tc 0.4805 0.0649 0.4148  5 O 1.84-2.00
O 0.0843 0.5362 0.1493  2 Mn 1.94-2.15, 1 Li 2.01, 1 Tc 2.11
O 0.2205 0.9773 0.6269  1 Tc 1.84
O 0.3948 0.9617 0.1455  1 Tc 1.92, 1 Li 2.06, 1 Mn 2.14
O 0.5784 0.2633 0.6085  2 Mn 1.99-2.10, 1 Tc 2.00
O 0.6682 0.2841 0.1374  2 Mn 1.99-2.17, 1 Tc 2.00, 1 Li 2.06
O 0.8474 0.6415 0.5880  1 Tc 1.89, 2 Mn 2.09-2.12

Summary:
For the calculated volume, the calculation gives 11.281 Å³/atom. As for the total energy: -7.25 eV/atom. Its magnetic moment is 10.0 μB per formula unit.